No. 1
LiFe2Rh, PBEsol geometry, DFT meta-GGA SCAN; DOS(E_F) = 2.59 states/eV/cell; ΔH_f (0 K) = 0.2 eV per formula unit
1.0
-2.3492 0.4127 2.4879
-0.7603 -3.3578 -0.1609
4.2503 0.7343 1.5043
Fe Li Rh
2 1 1
direct
0.7500 0.2500 0.5000 Fe
0.2500 0.7500 0.5000 Fe
0.5000 0.5000 0.0000 Li
0.0000 0.0000 0.0000 Rh



No. 2
LiFe2Rh, PBEsol geometry, DFT meta-GGA SCAN; DOS(E_F) = 2.00 states/eV/cell; ΔH_f (0 K) = -0.1 eV per formula unit
1.0
-1.8774 1.2747 1.8771
-2.0848 -0.0052 -2.0816
-1.6804 -4.9719 1.6955
Fe Li Rh
2 1 1
direct
0.0000 0.0000 0.0066 Fe
0.5000 0.5000 0.2480 Fe
0.0000 0.0000 0.5000 Li
0.5000 0.5000 0.7454 Rh



No. 3
LiFeRh2, PBEsol geometry, DFT meta-GGA SCAN; DOS(E_F) = 2.82 states/eV/cell; ΔH_f (0 K) = -0.8 eV per formula unit; offset from the most stable computed form = 35 meV per atom
1.0
-0.0122 -2.9347 0.4823
4.0058 -0.1071 -0.5500
0.5600 0.6473 3.9532
Rh Fe Li
2 1 1
direct
0.0000 0.0000 0.5000 Rh
0.0000 0.5000 0.0000 Rh
0.5000 0.5000 0.5000 Fe
0.5000 0.0000 0.0000 Li



No. 4
LiFe2Rh, PBEsol geometry, DFT meta-GGA SCAN; DOS(E_F) = 2.36 states/eV/cell; ΔH_f (0 K) = -0.1 eV per formula unit
1.0
-1.6271 -2.9188 -1.2402
2.3269 -2.0458 1.7620
-2.2577 -0.0055 2.9750
Fe Li Rh
2 1 1
direct
0.0000 0.5000 0.0000 Fe
0.5000 0.0000 0.0000 Fe
0.5000 0.5000 0.5000 Li
0.0000 0.0000 0.5000 Rh



No. 5
LiFeRu2, PBEsol geometry, DFT meta-GGA SCAN; DOS(E_F) = 3.68 states/eV/cell; ΔH_f (0 K) = 1.1 eV per formula unit; offset from the most stable computed form = 88 meV per atom
1.0
2.7668 0.0000 0.0000
0.0000 4.1723 0.0000
0.0000 0.0000 4.3333
Fe Li Ru
1 1 2
direct
0.5000 0.5000 0.0000 Fe
0.0000 0.5000 0.5000 Li
0.0000 0.0000 0.0000 Ru
0.5000 0.0000 0.5000 Ru



No. 6
LiFeRu2, PBEsol geometry, DFT meta-GGA SCAN; DOS(E_F) = 3.33 states/eV/cell; ΔH_f (0 K) = 0.8 eV per formula unit; offset from the most stable computed form = 13 meV per atom
1.0
-2.1295 1.1667 0.8832
-1.5778 0.2862 -4.1821
-0.6145 -4.4495 0.6166
Fe Li Ru
1 1 2
direct
0.5059 0.4807 0.0117 Fe
0.7518 0.2702 0.5037 Li
0.9942 0.9789 0.9884 Ru
0.2481 0.7702 0.4962 Ru



no.,calculated density (kg/m3)
1,8015
2,7688
3,9166
4,7753
5,8794
6,8845